Entry 1:
{
  "formula": "CsTl2Hg3",
  "functional": "PBE",
  "state": "relaxed",
  "lattice_angstrom": [[7.2620, 0.0000, 0.0000], [0.0000, 7.8321, -0.1400], [0.0000, -1.7105, 7.6443]],
  "species": ["Hg", "Hg", "Tl", "Tl", "Cs", "Tl", "Hg", "Hg", "Cs", "Hg", "Tl", "Hg"],
  "fractional_positions": [[0.7500, 0.1364, 0.4539], [0.2500, 0.8636, 0.5461], [0.0000, 0.7899, 0.2101], [0.5000, 0.7899, 0.2101], [0.7500, 0.6695, 0.6695], [0.0000, 0.2101, 0.7899], [0.7500, 0.4539, 0.1364], [0.2500, 0.5461, 0.8636], [0.2500, 0.3305, 0.3305], [0.2500, 0.9449, 0.9449], [0.5000, 0.2101, 0.7899], [0.7500, 0.0551, 0.0551]],
  "final_energy_ev_per_fu": -7.18,
  "space_group": "Cmcm (63)"
}

Entry 2:
{
  "formula": "CsTl5Hg7",
  "functional": "PBE",
  "state": "relaxed",
  "lattice_angstrom": [[1.4433, 3.5363, 5.3432], [5.2816, -4.2100, 5.3964], [7.1920, 4.6901, -1.0100]],
  "species": ["Tl", "Hg", "Hg", "Hg", "Hg", "Hg", "Hg", "Tl", "Tl", "Hg", "Tl", "Tl", "Cs"],
  "fractional_positions": [[0.4968, 0.4932, 0.0137], [0.0033, 0.3538, 0.6396], [0.3424, 0.6576, 0.6576], [0.3002, 0.1998, 0.1998], [0.6170, 0.3830, 0.3830], [0.5004, 0.7805, 0.2188], [0.5004, 0.2188, 0.7805], [0.7480, 0.7520, 0.7520], [0.9963, 0.0137, 0.4932], [0.0033, 0.6396, 0.3538], [0.9963, 0.4932, 0.0137], [0.4968, 0.0137, 0.4932], [0.9990, 0.0010, 0.0010]],
  "final_energy_ev_per_fu": -15.29,
  "space_group": "Imm2 (44)"
}

Entry 3:
{
  "formula": "CsTl2Hg9",
  "functional": "PBE",
  "state": "relaxed",
  "lattice_angstrom": [[-2.1331, -0.6454, -2.8463], [8.7473, -0.3921, -6.4666], [-3.6412, -9.0730, 4.7861]],
  "species": ["Tl", "Hg", "Hg", "Hg", "Hg", "Hg", "Cs", "Tl", "Hg", "Hg", "Hg", "Hg"],
  "fractional_positions": [[0.0000, 0.3333, 0.6667], [0.5000, 0.1777, 0.3553], [0.5000, 0.3553, 0.1777], [0.5000, 0.6447, 0.8223], [0.0000, 0.5000, 0.5000], [0.5000, 0.8223, 0.6447], [0.0000, 0.0000, 0.0000], [0.0000, 0.6667, 0.3333], [0.5000, 0.8223, 0.1777], [0.0000, 0.0000, 0.5000], [0.5000, 0.1777, 0.8223], [0.0000, 0.5000, 0.0000]],
  "space_group": "P6/mmm (191)",
  "e_above_lowest_polymorph_ev_per_atom": 0.010
}

Entry 4:
{
  "formula": "Cs4Tl4Hg",
  "functional": "PBE",
  "state": "relaxed",
  "lattice_angstrom": [[7.7758, 0.0000, 0.0000], [-3.8879, 8.2826, 3.8879], [0.0000, 0.0000, 7.7758]],
  "species": ["Cs", "Cs", "Tl", "Cs", "Tl", "Tl", "Cs", "Tl", "Hg"],
  "fractional_positions": [[0.4273, 0.2312, 0.5727], [0.1961, 0.7688, 0.4273], [0.6912, 0.6926, 0.3088], [0.8039, 0.2312, 0.1961], [0.0014, 0.6926, 0.9986], [0.3088, 0.3074, 0.0014], [0.5727, 0.7688, 0.8039], [0.9986, 0.3074, 0.6912], [0.0000, 0.0000, 0.0000]],
  "final_energy_ev_per_fu": -12.77,
  "space_group": "I-42m (121)"
}

Entry 5:
{
  "formula": "Cs3Tl9Hg2",
  "functional": "PBE",
  "state": "relaxed",
  "lattice_angstrom": [[-1.6659, -2.3953, 4.4901], [8.6845, -2.2655, 5.2066], [0.4985, 7.3552, 7.3017]],
  "species": ["Tl", "Cs", "Tl", "Cs", "Tl", "Tl", "Tl", "Hg", "Tl", "Cs", "Tl", "Hg", "Tl", "Tl"],
  "fractional_positions": [[0.8783, 0.4015, 0.8419], [0.0000, 0.0000, 0.0000], [0.3226, 0.0230, 0.3319], [0.6944, 0.3056, 0.3056], [0.3226, 0.3319, 0.0230], [0.0000, 0.5000, 0.5000], [0.1217, 0.1581, 0.5985], [0.5000, 0.6926, 0.3074], [0.6774, 0.6681, 0.9770], [0.3056, 0.6944, 0.6944], [0.8783, 0.8419, 0.4015], [0.5000, 0.3074, 0.6926], [0.6774, 0.9770, 0.6681], [0.1217, 0.5985, 0.1581]],
  "final_energy_ev_per_fu": -25.30,
  "space_group": "Immm (71)"
}

Entry 6:
{
  "formula": "CsTlHg2",
  "functional": "PBE",
  "state": "relaxed",
  "lattice_angstrom": [[5.3989, 0.0000, 0.0000], [2.6994, 4.6756, 0.0000], [2.6994, 1.5585, 6.6963]],
  "species": ["Hg", "Cs", "Tl", "Hg"],
  "fractional_positions": [[0.0301, 0.0301, 0.9097], [0.4914, 0.4914, 0.5258], [0.6839, 0.6839, 0.9482], [0.2946, 0.2946, 0.1163]],
  "space_group": "R3m (160)",
  "e_above_lowest_polymorph_ev_per_atom": 0.023
}

Entry 7:
{
  "formula": "Cs5Tl3Hg12",
  "functional": "PBE",
  "state": "relaxed",
  "lattice_angstrom": [[17.4845, 0.0000, 0.0000], [-5.8282, 16.4845, 0.0000], [-5.8282, -8.2423, 14.2760]],
  "species": ["Tl", "Hg", "Hg", "Cs", "Hg", "Hg", "Cs", "Hg", "Cs", "Hg", "Hg", "Tl", "Tl", "Hg", "Hg", "Cs", "Hg", "Hg", "Tl", "Hg", "Hg", "Hg", "Hg", "Cs", "Cs", "Hg", "Hg", "Hg", "Hg", "Hg", "Hg", "Cs", "Hg", "Tl", "Hg", "Hg", "Hg", "Hg", "Hg", "Cs", "Tl", "Cs", "Hg", "Hg", "Tl", "Hg", "Cs", "Hg", "Cs", "Hg", "Hg", "Cs", "Hg", "Hg", "Cs", "Tl", "Cs", "Tl", "Hg", "Cs", "Hg", "Cs", "Cs", "Hg", "Cs", "Hg", "Hg", "Hg", "Hg", "Cs", "Hg", "Tl", "Hg", "Tl", "Hg", "Tl", "Cs", "Hg", "Hg", "Hg"],
  "fractional_positions": [[0.8750, 0.7500, 0.1250], [0.5980, 0.3539, 0.9429], [0.9111, 0.8539, 0.7560], [0.3750, 0.2500, 0.1250], [0.0889, 0.9429, 0.3449], [0.2560, 0.4111, 0.8539], [0.2500, 0.8750, 0.1250], [0.2560, 0.8449, 0.9020], [0.5000, 0.0000, 0.0000], [0.6551, 0.0980, 0.2440], [0.8539, 0.9111, 0.2560], [0.6250, 0.3750, 0.7500], [0.7500, 0.8750, 0.6250], [0.5980, 0.2440, 0.1551], [0.8539, 0.9429, 0.0980], [0.3750, 0.1250, 0.7500], [0.0980, 0.4429, 0.8539], [0.5889, 0.7440, 0.6461], [0.2500, 0.1250, 0.3750], [0.2440, 0.5980, 0.6551], [0.4020, 0.7560, 0.8449], [0.7440, 0.1551, 0.0980], [0.7560, 0.3539, 0.9111], [0.6250, 0.8750, 0.2500], [0.5000, 0.5000, 0.0000], [0.6461, 0.2440, 0.5889], [0.5571, 0.6551, 0.4111], [0.4429, 0.3449, 0.5889], [0.1551, 0.7440, 0.5980], [0.1551, 0.4111, 0.0571], [0.7440, 0.5889, 0.1461], [0.1250, 0.7500, 0.3750], [0.3449, 0.4429, 0.0889], [0.7500, 0.3750, 0.1250], [0.4429, 0.0980, 0.3539], [0.3539, 0.5980, 0.4429], [0.2440, 0.6461, 0.0889], [0.0889, 0.1461, 0.2440], [0.0571, 0.9111, 0.1551], [0.0000, 0.5000, 0.0000], [0.3750, 0.6250, 0.2500], [0.5000, 0.5000, 0.5000], [0.1461, 0.0571, 0.9020], [0.9020, 0.5571, 0.1461], [0.3750, 0.7500, 0.6250], [0.5889, 0.8449, 0.4429], [0.8750, 0.6250, 0.7500], [0.6461, 0.4020, 0.5571], [0.0000, 0.5000, 0.5000], [0.3539, 0.7560, 0.4111], [0.6551, 0.5571, 0.9111], [0.0000, 0.0000, 0.0000], [0.4111, 0.2560, 0.3539], [0.1461, 0.0889, 0.7440], [0.6250, 0.7500, 0.8750], [0.2500, 0.6250, 0.8750], [0.7500, 0.6250, 0.3750], [0.8750, 0.1250, 0.2500], [0.7560, 0.4020, 0.3449], [0.7500, 0.1250, 0.8750], [0.9429, 0.0889, 0.8449], [0.2500, 0.3750, 0.6250], [0.0000, 0.0000, 0.5000], [0.4111, 0.1551, 0.5571], [0.5000, 0.0000, 0.5000], [0.4020, 0.6461, 0.0571], [0.9111, 0.0571, 0.6551], [0.0980, 0.6551, 0.7440], [0.9020, 0.3449, 0.2560], [0.1250, 0.3750, 0.2500], [0.8449, 0.5889, 0.9429], [0.1250, 0.2500, 0.8750], [0.3449, 0.9020, 0.7560], [0.1250, 0.8750, 0.7500], [0.9429, 0.8539, 0.5980], [0.6250, 0.2500, 0.3750], [0.8750, 0.2500, 0.6250], [0.8449, 0.2560, 0.4020], [0.0571, 0.1461, 0.4020], [0.5571, 0.9020, 0.6461]],
  "final_energy_ev_per_fu": -15.92,
  "space_group": "Ia-3d (230)"
}

Entry 8:
{
  "formula": "CsTl3Hg",
  "functional": "PBE",
  "state": "relaxed",
  "lattice_angstrom": [[6.9006, 0.0000, 0.0000], [0.0000, 6.9006, 0.0000], [0.0000, 0.0000, 6.9006]],
  "species": ["Tl", "Tl", "Hg", "Cs", "Tl"],
  "fractional_positions": [[0.5000, 0.0000, 0.0000], [0.0000, 0.5000, 0.0000], [0.5000, 0.5000, 0.5000], [0.0000, 0.0000, 0.0000], [0.0000, 0.0000, 0.5000]],
  "space_group": "Pm-3m (221)",
  "e_above_lowest_polymorph_ev_per_atom": 0.847
}

Entry 9:
{
  "formula": "Cs2Tl12Hg5",
  "functional": "PBE",
  "state": "relaxed",
  "lattice_angstrom": [[-4.3561, -2.9771, -6.8750], [5.4094, -6.4691, -1.9987], [-4.3000, -6.3172, 4.0876]],
  "species": ["Cs", "Tl", "Tl", "Hg", "Tl", "Cs", "Tl", "Tl", "Tl", "Tl", "Tl", "Tl", "Hg", "Hg", "Tl", "Hg", "Hg", "Tl", "Tl"],
  "fractional_positions": [[0.3305, 0.3305, 0.3305], [0.6578, 0.6578, 0.1545], [0.0000, 0.2930, 0.7070], [0.0932, 0.0932, 0.0932], [0.2930, 0.7070, 0.0000], [0.6695, 0.6695, 0.6695], [0.8455, 0.3422, 0.3422], [0.1545, 0.6578, 0.6578], [0.7070, 0.2930, 0.0000], [0.3422, 0.8455, 0.3422], [0.2930, 0.0000, 0.7070], [0.3422, 0.3422, 0.8455], [0.0000, 0.5000, 0.0000], [0.9068, 0.9068, 0.9068], [0.6578, 0.1545, 0.6578], [0.0000, 0.0000, 0.5000], [0.5000, 0.0000, 0.0000], [0.0000, 0.7070, 0.2930], [0.7070, 0.0000, 0.2930]],
  "final_energy_ev_per_fu": -32.37,
  "space_group": "R-3m (166)"
}

Entry 10:
{
  "formula": "Cs2Tl3Hg4",
  "functional": "PBE",
  "state": "relaxed",
  "lattice_angstrom": [[-6.1693, 2.9788, -0.3963], [-5.6516, -3.6976, 0.7727], [-2.7420, 4.3603, 16.0460]],
  "species": ["Hg", "Hg", "Hg", "Hg", "Tl", "Cs", "Cs", "Tl", "Tl", "Cs", "Tl", "Tl", "Cs", "Hg", "Hg", "Hg", "Hg", "Tl"],
  "fractional_positions": [[0.4767, 0.8246, 0.6665], [0.8933, 0.3246, 0.8335], [0.8567, 0.1754, 0.6665], [0.9678, 0.1754, 0.3335], [0.0000, 0.0000, 0.0000], [0.5714, 0.0000, 0.8572], [0.3214, 0.5000, 0.3572], [0.7500, 0.5000, 0.5000], [0.7457, 0.0000, 0.5086], [0.4286, 0.0000, 0.1428], [0.0043, 0.5000, 0.9914], [0.2543, 0.0000, 0.4914], [0.1786, 0.5000, 0.6428], [0.0513, 0.6754, 0.1665], [0.6987, 0.8246, 0.3335], [0.7822, 0.3246, 0.1665], [0.2733, 0.6754, 0.8335], [0.4957, 0.5000, 0.0086]],
  "final_energy_ev_per_fu": -11.14,
  "space_group": "Fddd (70)"
}

Entry 11:
{
  "formula": "Cs3Tl4Hg4",
  "functional": "PBE",
  "state": "relaxed",
  "lattice_angstrom": [[-3.9348, -2.1551, -2.7290], [3.5147, -2.9839, -2.7042], [-1.5310, -14.1165, 8.3378]],
  "species": ["Tl", "Cs", "Cs", "Tl", "Tl", "Hg", "Tl", "Hg", "Hg", "Cs", "Hg"],
  "fractional_positions": [[0.2498, 0.2524, 0.4980], [0.8522, 0.3517, 0.2982], [0.1478, 0.6483, 0.7018], [0.5976, 0.0975, 0.8019], [0.4024, 0.9025, 0.1981], [0.3062, 0.8063, 0.3907], [0.7502, 0.7476, 0.5020], [0.6939, 0.1938, 0.6093], [0.4528, 0.4526, 0.0966], [0.0000, 0.0000, 0.0000], [0.5472, 0.5474, 0.9034]],
  "space_group": "P-1 (2)",
  "e_above_lowest_polymorph_ev_per_atom": 0.006
}

Entry 12:
{
  "formula": "Cs2Tl16Hg",
  "functional": "PBE",
  "state": "relaxed",
  "lattice_angstrom": [[-1.9606, -0.1482, 8.5348], [5.9431, -5.9202, 2.5181], [6.1714, 5.5633, 2.7699]],
  "species": ["Tl", "Tl", "Tl", "Tl", "Tl", "Hg", "Tl", "Tl", "Cs", "Tl", "Tl", "Tl", "Tl", "Tl", "Cs", "Tl", "Tl", "Tl", "Tl"],
  "fractional_positions": [[0.3426, 0.8742, 0.3426], [0.0907, 0.0907, 0.0907], [0.9836, 0.5262, 0.9836], [0.1700, 0.6402, 0.6402], [0.8742, 0.3426, 0.3426], [0.9036, 0.9036, 0.9036], [0.7093, 0.2917, 0.0008], [0.9836, 0.9836, 0.5262], [0.3376, 0.3376, 0.3376], [0.6402, 0.1700, 0.6402], [0.7093, 0.0008, 0.2917], [0.2917, 0.0008, 0.7093], [0.6402, 0.6402, 0.1700], [0.3426, 0.3426, 0.8742], [0.6612, 0.6612, 0.6612], [0.2917, 0.7093, 0.0008], [0.0008, 0.7093, 0.2917], [0.0008, 0.2917, 0.7093], [0.5262, 0.9836, 0.9836]],
  "final_energy_ev_per_fu": -40.41,
  "space_group": "R3m (160)"
}

Number 1: magnetic moment 0.000 μB/f.u.. Number 2: magnetic moment 0.000 μB/f.u.. Number 3: magnetic moment 0.000 μB/f.u.. Number 4: magnetic moment 0.000 μB/f.u.. Number 5: magnetic moment 0.000 μB/f.u.. Number 6: magnetic moment 0.000 μB/f.u.. Number 7: magnetic moment 0.000 μB/f.u.. Number 8: magnetic moment 0.000 μB/f.u.. Number 9: magnetic moment 0.000 μB/f.u.. Number 10: magnetic moment 0.000 μB/f.u.. Number 11: magnetic moment 0.000 μB/f.u.. Number 12: magnetic moment 0.000 μB/f.u..